HoHfHg after structural relaxation, computed with PBE.

Cell: 6.9062 6.9062 6.9062 Å, 90.00 90.00 90.00°
With the nearest neighbours (Å) after each atom.
Space group F-43m (No. 216)
Unique sites:
Ho (0.0000, 0.0000, 0.0000)  4 Hg 2.99
Hf (0.0000, 0.0000, 0.5000)  4 Hg 2.99
Hg (0.2500, 0.2500, 0.7500)  4 Hf 2.99, 4 Ho 2.99

Values from the calculation:
- uncorrected energy (eV per atom) = -4.678
- energy relative to the elements (eV per atom) = 0.2654